# 1
VASP calculation (PBE-GGA) on a relaxed CsSr2Sn2 crystal.

```
10
Lattice="9.697 0.000 0.000 0.000 9.697 0.000 0.000 0.000 4.332" Properties=species:S:1:pos:R:3 pbc="T T T"
Cs 0.000 0.000 0.000
Cs 4.849 4.849 0.000
Sr 1.615 6.463 2.166
Sr 6.463 8.083 2.166
Sr 8.083 3.234 2.166
Sr 3.234 1.615 2.166
Sn 3.746 8.595 0.000
Sn 8.595 5.951 0.000
Sn 5.951 1.102 0.000
Sn 1.102 3.746 0.000
```

Summary:
size of the total moment: 0.00 μB per formula unit
formation enthalpy at 0 K: -340 meV/atom
mass density: 4.45 g/cm³
raw total energy: -2.785 eV per atom
SG: P4/mbm, No. 127

# 2
VASP calculation (PBE-GGA) on a relaxed ThSc2S4 crystal.

```
14
Lattice="3.772 0.000 0.000 -1.886 6.101 0.000 0.000 0.000 12.664" Properties=species:S:1:pos:R:3 pbc="T T T"
Th 1.886 1.457 9.498
Th 0.000 4.644 3.166
Sc 0.000 1.604 5.558
Sc 1.886 4.497 11.890
Sc 0.000 1.604 0.774
Sc 1.886 4.497 7.106
S 1.886 3.280 1.511
S 1.886 3.280 4.821
S 0.000 2.821 11.153
S 0.000 2.821 7.843
S 1.886 5.478 9.498
S 0.000 0.623 3.166
S 1.886 0.000 0.000
S 1.886 0.000 6.332
```

Summary:
size of the total moment: 0.00 μB per formula unit
formation energy from raw total energies: -1.900 eV/atom
mass density: 5.13 g/cm³
raw total energy: -7.128 eV per atom
SG: Cmcm, No. 63

# 3
VASP calculation (PBE-GGA) on a relaxed KAlRu3 crystal.

```
5
Lattice="4.656 0.000 0.000 0.000 4.656 0.000 0.000 0.000 4.656" Properties=species:S:1:pos:R:3 pbc="T T T"
Ru 0.000 2.328 0.000
Ru 0.000 0.000 2.328
Ru 2.328 0.000 0.000
K 2.328 2.328 2.328
Al 0.000 0.000 0.000
```

Summary:
size of the total moment: 2.71 μB per formula unit
formation enthalpy at 0 K: 1292 meV/atom
mass density: 6.08 g/cm³
raw total energy: -5.242 eV per atom
SG: Pm-3m, No. 221

# 4
VASP calculation (PBE-GGA) on a relaxed GaPdSe2N crystal.

```
5
Lattice="5.164 0.000 0.000 0.000 5.164 0.000 0.000 0.000 3.569" Properties=species:S:1:pos:R:3 pbc="T T T"
Ga 0.000 0.000 0.000
Se 0.000 2.582 0.000
Se 2.582 0.000 0.000
Pd 2.582 2.582 1.785
N 0.000 0.000 1.785
```

Summary:
size of the total moment: 1.87 μB per formula unit
formation energy from raw total energies: 0.767 eV/atom
mass density: 6.07 g/cm³
raw total energy: -3.936 eV per atom
SG: P4/mmm, No. 123